No. 1
DFT (PBE) results for a relaxed Ba2CrTc crystal.

Geometry as CIF:
```
data_Ba2CrTc
_symmetry_space_group_name_H-M 'C m m m'
_symmetry_Int_Tables_number 65
_symmetry_space_group_name_Hall '-C 2 2'
_cell_length_a 8.043
_cell_length_b 8.245
_cell_length_c 3.858
_cell_angle_alpha 90.00
_cell_angle_beta 90.00
_cell_angle_gamma 90.00
loop_
_atom_site_label
_atom_site_type_symbol
_atom_site_fract_x
_atom_site_fract_y
_atom_site_fract_z
Ba1 Ba 0.250 0.250 0.000
Cr1 Cr 0.000 0.000 0.500
Tc1 Tc 0.000 0.500 0.500
```



No. 2
DFT (PBE) results for a relaxed BaCr2Tc crystal.

Geometry as CIF:
```
data_BaCr2Tc
_symmetry_space_group_name_H-M 'P m m m'
_symmetry_Int_Tables_number 47
_cell_length_a 3.362
_cell_length_b 4.649
_cell_length_c 5.086
_cell_angle_alpha 90.00
_cell_angle_beta 90.00
_cell_angle_gamma 90.00
loop_
_symmetry_equiv_pos_as_xyz
'x,y,z'
'-x,-y,-z'
'-x,-y,z'
'x,y,-z'
'x,-y,-z'
'-x,y,z'
'-x,y,-z'
'x,-y,z'
loop_
_atom_site_label
_atom_site_type_symbol
_atom_site_fract_x
_atom_site_fract_y
_atom_site_fract_z
Ba1 Ba 0.000 0.000 0.000
Cr1 Cr 0.000 0.500 0.500
Cr2 Cr 0.500 0.000 0.500
Tc1 Tc 0.500 0.500 0.000
```



| no. | formation enthalpy at 0 K (eV/atom) |
| --- | --- |
| 1 | 1.131 |
| 2 | 1.251 |